# Sm2Er3Tm5

An optimized crystal structure of Sm2Er3Tm5 (PBE, Alexandria).

a = 9.3524 Å, b = 9.3933 Å, c = 11.0161 Å
α = 125.73°, β = 125.65°, γ = 68.20°
Fractional positions:
Sm (0.2232, 0.9858, 0.2554)
Tm (0.0188, 0.7688, 0.5376)
Tm (0.6085, 0.8527, 0.2401)
Tm (0.8684, 0.6126, 0.7599)
Tm (0.3915, 0.1473, 0.7599)
Tm (0.9812, 0.2312, 0.4624)
Sm (0.4678, 0.7304, 0.7446)
Er (0.7284, 0.4645, 0.2435)
Tm (0.7234, 0.4734, 0.9468)
Er (0.7719, 0.0219, 0.0438)
Er (0.2716, 0.5355, 0.7565)
Tm (0.4764, 0.7264, 0.4528)
Tm (0.5236, 0.2736, 0.5472)
Er (0.9848, 0.2210, 0.7565)
Tm (0.1316, 0.3874, 0.2401)
Sm (0.5322, 0.2696, 0.2554)
Tm (0.2766, 0.5266, 0.0532)
Er (0.2281, 0.9781, 0.9562)
Sm (0.7768, 0.0142, 0.7446)
Er (0.0152, 0.7790, 0.2435)

Output
total moment	0.00	μB per formula unit
energy relative to the lowest polymorph listed for this composition	0.0	meV/atom
space-group type	C2/c


# TiNb

An optimized crystal structure of TiNb (PBE, Alexandria).

a = 2.8670 Å, b = 5.7386 Å, c = 4.5507 Å
α = 90.00°, β = 90.00°, γ = 109.40°
Fractional positions:
Nb (0.7814, 0.8772, 0.7500)
Ti (0.2840, 0.6250, 0.2500)
Ti (0.7160, 0.3750, 0.7500)
Nb (0.2186, 0.1228, 0.2500)

Output
total moment	0.00	μB per formula unit
space-group type	P2_1/m
energy	-8.966	eV/atom


# Mn2AuI

An optimized crystal structure of Mn2AuI (PBE, Alexandria).

a = 8.8150 Å, b = 3.3943 Å, c = 5.9491 Å
α = 90.00°, β = 90.71°, γ = 90.00°
Last column: magnetic moment on the atom in μB.
Fractional positions:
Mn (0.9555, 0.0000, 0.3611)  3.81
I (0.5092, 0.0000, 0.0170)  -0.01
Mn (0.7255, 0.0000, 0.6881)  3.61
Au (0.1577, 0.0000, 0.0336)  0.06
Mn (0.9555, 0.5000, 0.8611)  3.81
Au (0.1577, 0.5000, 0.5336)  0.06
Mn (0.7255, 0.5000, 0.1881)  3.61
I (0.5092, 0.5000, 0.5170)  -0.01

Output
total moment	7.76	μB per formula unit
raw formation energy	0.478	eV per atom
energy relative to the lowest polymorph listed for this composition	217.1	meV/atom
space-group type	Cm


# PaSiPdC

An optimized crystal structure of PaSiPdC (PBE, Alexandria).

a = 3.8177 Å, b = 3.8177 Å, c = 8.6741 Å
α = 90.00°, β = 90.00°, γ = 90.00°
Fractional positions:
Si (0.0000, 0.5000, 0.3290)
C (0.0000, 0.5000, 0.1169)
Pd (0.5000, 0.5000, 0.5000)
C (0.5000, 0.0000, 0.8831)
Pa (0.0000, 0.5000, 0.8502)
Si (0.5000, 0.0000, 0.6710)
Pd (0.0000, 0.0000, 0.5000)
Pa (0.5000, 0.0000, 0.1498)

Output
total moment	0.00	μB per formula unit
raw formation energy	-0.588	eV per atom
space-group type	P4/nmm


# TmPuScO6

An optimized crystal structure of TmPuScO6 (PBE, Alexandria).

a = 5.4885 Å, b = 5.4885 Å, c = 9.4562 Å
α = 90.00°, β = 90.00°, γ = 120.00°
Last column: magnetic moment on the atom in μB.
Fractional positions:
O (0.9927, 0.3418, 0.1350)  -0.07
Pu (0.6667, 0.3333, 0.2500)  2.46
O (0.3492, 0.0073, 0.1350)  -0.07
Tm (0.0000, 0.0000, 0.0000)  -0.01
O (0.3418, 0.9927, 0.6350)  -0.07
Sc (0.6667, 0.3333, 0.7500)  0.01
O (0.0073, 0.3492, 0.6350)  -0.07
Sc (0.3333, 0.6667, 0.2500)  0.01
O (0.3492, 0.3418, 0.3650)  -0.07
O (0.9927, 0.6508, 0.3650)  -0.07
O (0.6582, 0.0073, 0.3650)  -0.07
O (0.3418, 0.3492, 0.8650)  -0.07
Pu (0.3333, 0.6667, 0.7500)  2.46
O (0.6582, 0.6508, 0.1350)  -0.07
O (0.6508, 0.9927, 0.8650)  -0.07
O (0.6508, 0.6582, 0.6350)  -0.07
Tm (0.0000, 0.0000, 0.5000)  -0.01
O (0.0073, 0.6582, 0.8650)  -0.07

Output
total moment	2.00	μB per formula unit
raw formation energy	-3.078	eV per atom
space-group type	P-31c


# AgBr2N2

An optimized crystal structure of AgBr2N2 (PBE, Alexandria).

a = 3.7359 Å, b = 4.4452 Å, c = 10.7058 Å
α = 92.89°, β = 90.00°, γ = 114.85°
Fractional positions:
N (0.0545, 0.1091, 0.5342)
Br (0.6246, 0.2493, 0.1472)
Ag (0.0000, 0.0000, 0.0000)
N (0.9455, 0.8909, 0.4658)
Br (0.3754, 0.7507, 0.8528)

Output
total moment	0.00	μB per formula unit
raw formation energy	-0.120	eV per atom
space-group type	C2/m


Number 1: Fermi-level density of states 1.743 states/eV/atom. Number 2: Fermi-level density of states 1.769 states/eV/atom. Number 3: Fermi-level density of states 1.084 states/eV/atom. Number 4: Fermi-level density of states 0.679 states/eV/atom. Number 5: Fermi-level density of states 0.876 states/eV/atom. Number 6: Fermi-level density of states 0.698 states/eV/atom.